DFT (PBE) results for a relaxed Ac4Pt2Rh crystal.

The structure in POSCAR format:
```
Ac4Pt2Rh
1.0
-2.844 2.844 7.423
2.844 -2.844 7.423
2.844 2.844 -7.423
Ac Pt Rh
4 2 1
Direct
0.000 0.500 0.500
0.201 0.201 0.000
0.500 0.000 0.500
0.799 0.799 0.000
0.394 0.394 0.000
0.606 0.606 0.000
0.000 0.000 0.000
```

Results
- E_tot: -40.1 eV/cell
- Density: 9688 kg/m3
- Size of the total moment: 0.00 μB per formula unit
- Energy of formation from the pure elements: -606 meV/atom



DFT (PBE) results for a relaxed Ac5PtRh crystal.

The structure in POSCAR format:
```
Ac5PtRh
1.0
5.527 -4.623 0.000
5.527 4.623 0.000
-4.204 0.000 10.655
Ac Pt Rh
10 2 2
Direct
0.133 0.234 0.016
0.234 0.133 0.516
0.247 0.753 0.750
0.249 0.568 0.362
0.432 0.751 0.138
0.568 0.249 0.862
0.751 0.432 0.638
0.753 0.247 0.250
0.766 0.867 0.484
0.867 0.766 0.984
0.080 0.920 0.250
0.920 0.080 0.750
0.000 0.500 0.500
0.500 0.000 0.000
```

Results
- E_tot: -74.0 eV/cell
- Density: 8741 kg/m3
- Size of the total moment: 0.00 μB per formula unit
- Energy of formation from the pure elements: -437 meV/atom



DFT (PBE) results for a relaxed Ac2Pt15Rh2 crystal.

The structure in POSCAR format:
```
Ac2Pt15Rh2
1.0
4.677 2.700 4.506
-4.677 2.700 4.506
0.000 -5.400 4.506
Ac Pt Rh
2 15 2
Direct
0.162 0.162 0.162
0.838 0.838 0.838
0.000 0.500 0.500
0.153 0.153 0.656
0.153 0.656 0.153
0.199 0.500 0.801
0.199 0.801 0.500
0.344 0.847 0.847
0.500 0.000 0.500
0.500 0.199 0.801
0.500 0.500 0.000
0.500 0.801 0.199
0.656 0.153 0.153
0.801 0.199 0.500
0.801 0.500 0.199
0.847 0.344 0.847
0.847 0.847 0.344
0.403 0.403 0.403
0.597 0.597 0.597
```

Results
- E_tot: -121.3 eV/cell
- Density: 17441 kg/m3
- Size of the total moment: 1.41 μB per formula unit
- Energy of formation from the pure elements: -411 meV/atom



DFT (PBE) results for a relaxed AcPt4Rh crystal.

The structure in POSCAR format:
```
AcPt4Rh
1.0
0.000 3.852 3.852
3.852 0.000 3.852
3.852 3.852 0.000
Ac Pt Rh
1 4 1
Direct
0.000 0.000 0.000
0.376 0.376 0.376
0.376 0.376 0.872
0.376 0.872 0.376
0.872 0.376 0.376
0.750 0.750 0.750
```

Results
- E_tot: -38.3 eV/cell
- Density: 16134 kg/m3
- Size of the total moment: 1.03 μB per formula unit
- Energy of formation from the pure elements: -453 meV/atom